Model i:
Entry from Alexandria: SrCa2MgAg after structural relaxation (PBE).

Structure (CIF):
```
data_SrCa2MgAg
_space_group_name_H-M_alt 'P 4/m m m'
_space_group_IT_number 123
_space_group_name_Hall '-P 4 2'
_cell_length_a 5.842
_cell_length_b 5.842
_cell_length_c 5.380
_cell_angle_alpha 90.00
_cell_angle_beta 90.00
_cell_angle_gamma 90.00
loop_
_atom_site_label
_atom_site_type_symbol
_atom_site_fract_x
_atom_site_fract_y
_atom_site_fract_z
Sr1 Sr 0.000 0.000 0.000
Ca1 Ca 0.000 0.500 0.500
Mg1 Mg 0.500 0.500 0.000
Ag1 Ag 0.500 0.500 0.500
```


Model ii:
Entry from Alexandria: SrCa2MgAg after structural relaxation (PBE).

Structure (CIF):
```
data_SrCa2MgAg
_space_group_name_H-M_alt 'P 4/m m m'
_space_group_IT_number 123
_space_group_name_Hall '-P 4 2'
_cell_length_a 5.781
_cell_length_b 5.781
_cell_length_c 6.038
_cell_angle_alpha 90.00
_cell_angle_beta 90.00
_cell_angle_gamma 90.00
loop_
_atom_site_label
_atom_site_type_symbol
_atom_site_fract_x
_atom_site_fract_y
_atom_site_fract_z
Sr1 Sr 0.000 0.000 0.000
Ca1 Ca 0.000 0.500 0.500
Mg1 Mg 0.500 0.500 0.000
Ag1 Ag 0.000 0.000 0.500
```


Relative energy table, unit eV/atom: model i 0.000; model ii 0.068


Model i:
Entry from Alexandria: CaMnAg3 after structural relaxation (PBE).

Structure (CIF):
```
data_CaMnAg3
_space_group_name_H-M_alt 'P m -3 m'
_space_group_IT_number 221
_space_group_name_Hall '-P 4 2 3'
_cell_length_a 5.005
_cell_length_b 5.005
_cell_length_c 5.005
_cell_angle_alpha 90.00
_cell_angle_beta 90.00
_cell_angle_gamma 90.00
loop_
_atom_site_label
_atom_site_type_symbol
_atom_site_fract_x
_atom_site_fract_y
_atom_site_fract_z
Ca1 Ca 0.000 0.000 0.000
Mn1 Mn 0.500 0.500 0.500
Ag1 Ag 0.000 0.500 0.500
```


Model ii:
Entry from Alexandria: CaMnAg3 after structural relaxation (PBE).

Structure (CIF):
```
data_CaMnAg3
_space_group_name_H-M_alt 'P m -3 m'
_space_group_IT_number 221
_space_group_name_Hall '-P 4 2 3'
_cell_length_a 5.307
_cell_length_b 5.307
_cell_length_c 5.307
_cell_angle_alpha 90.00
_cell_angle_beta 90.00
_cell_angle_gamma 90.00
loop_
_atom_site_label
_atom_site_type_symbol
_atom_site_fract_x
_atom_site_fract_y
_atom_site_fract_z
Ca1 Ca 0.000 0.000 0.000
Mn1 Mn 0.500 0.500 0.500
Ag1 Ag 0.000 0.000 0.500
```


Relative energy table, unit eV/atom: model i 0.000; model ii 0.775


Model i:
Entry from Alexandria: CaAgMo2 after structural relaxation (PBE).

Structure (CIF):
```
data_CaAgMo2
_space_group_name_H-M_alt 'P 1 m 1'
_space_group_IT_number 6
_space_group_name_Hall 'P -2y'
_cell_length_a 3.285
_cell_length_b 3.281
_cell_length_c 7.538
_cell_angle_alpha 90.00
_cell_angle_beta 92.30
_cell_angle_gamma 90.00
loop_
_atom_site_label
_atom_site_type_symbol
_atom_site_fract_x
_atom_site_fract_y
_atom_site_fract_z
Ca1 Ca 0.000 0.000 0.000
Ag1 Ag 0.524 0.500 0.288
Mo1 Mo 0.059 0.000 0.536
Mo2 Mo 0.498 0.500 0.697
```


Model ii:
Entry from Alexandria: CaAgMo2 after structural relaxation (PBE).

Structure (CIF):
```
data_CaAgMo2
_space_group_name_H-M_alt 'P m m m'
_space_group_IT_number 47
_space_group_name_Hall '-P 2 2'
_cell_length_a 2.705
_cell_length_b 5.109
_cell_length_c 5.445
_cell_angle_alpha 90.00
_cell_angle_beta 90.00
_cell_angle_gamma 90.00
loop_
_atom_site_label
_atom_site_type_symbol
_atom_site_fract_x
_atom_site_fract_y
_atom_site_fract_z
Ca1 Ca 0.000 0.000 0.000
Ag1 Ag 0.000 0.000 0.500
Mo1 Mo 0.500 0.500 0.241
```


Relative energy table, unit eV/atom: model i 0.000; model ii 0.380


Model i:
Entry from Alexandria: CaAg2Mo after structural relaxation (PBE).

Structure (CIF):
```
data_CaAg2Mo
_space_group_name_H-M_alt 'C m m m'
_space_group_IT_number 65
_space_group_name_Hall '-C 2 2'
_cell_length_a 6.279
_cell_length_b 8.527
_cell_length_c 2.885
_cell_angle_alpha 90.00
_cell_angle_beta 90.00
_cell_angle_gamma 90.00
loop_
_atom_site_label
_atom_site_type_symbol
_atom_site_fract_x
_atom_site_fract_y
_atom_site_fract_z
Ca1 Ca 0.000 0.000 0.000
Ag1 Ag 0.250 0.250 0.500
Mo1 Mo 0.000 0.500 0.000
```


Model ii:
Entry from Alexandria: CaAg2Mo after structural relaxation (PBE).

Structure (CIF):
```
data_CaAg2Mo
_space_group_name_H-M_alt 'F -4 3 m'
_space_group_IT_number 216
_space_group_name_Hall 'F -4 2 3'
_cell_length_a 6.887
_cell_length_b 6.887
_cell_length_c 6.887
_cell_angle_alpha 90.00
_cell_angle_beta 90.00
_cell_angle_gamma 90.00
loop_
_atom_site_label
_atom_site_type_symbol
_atom_site_fract_x
_atom_site_fract_y
_atom_site_fract_z
Ca1 Ca 0.000 0.000 0.000
Ag1 Ag 0.000 0.000 0.500
Ag2 Ag 0.250 0.250 0.250
Mo1 Mo 0.250 0.250 0.750
```


Model iii:
Entry from Alexandria: CaAg2Mo after structural relaxation (PBE).

Structure (CIF):
```
data_CaAg2Mo
_space_group_name_H-M_alt 'F m -3 m'
_space_group_IT_number 225
_space_group_name_Hall '-F 4 2 3'
_cell_length_a 6.951
_cell_length_b 6.951
_cell_length_c 6.951
_cell_angle_alpha 90.00
_cell_angle_beta 90.00
_cell_angle_gamma 90.00
loop_
_atom_site_label
_atom_site_type_symbol
_atom_site_fract_x
_atom_site_fract_y
_atom_site_fract_z
Ca1 Ca 0.000 0.000 0.000
Ag1 Ag 0.250 0.250 0.250
Mo1 Mo 0.000 0.000 0.500
```


Relative energy table, unit eV/atom: model i 0.000; model ii 0.173; model iii 0.056


Model i:
Entry from Alexandria: CaTlAgMoN after structural relaxation (PBE).

Structure (CIF):
```
data_CaTlAgMoN
_space_group_name_H-M_alt 'C 1 m 1'
_space_group_IT_number 8
_space_group_name_Hall 'C -2y'
_cell_length_a 5.456
_cell_length_b 3.151
_cell_length_c 10.417
_cell_angle_alpha 90.00
_cell_angle_beta 100.02
_cell_angle_gamma 90.00
loop_
_atom_site_label
_atom_site_type_symbol
_atom_site_fract_x
_atom_site_fract_y
_atom_site_fract_z
Ca1 Ca 0.000 0.000 0.000
Tl1 Tl 0.333 0.500 0.491
Ag1 Ag 0.078 0.500 0.736
Mo1 Mo 0.418 0.000 0.254
N1 N 0.213 0.500 0.139
```


Model ii:
Entry from Alexandria: CaTlAgMoN after structural relaxation (PBE).

Structure (CIF):
```
data_CaTlAgMoN
_space_group_name_H-M_alt 'P 1 m 1'
_space_group_IT_number 6
_space_group_name_Hall 'P -2y'
_cell_length_a 4.917
_cell_length_b 3.578
_cell_length_c 5.890
_cell_angle_alpha 90.00
_cell_angle_beta 91.06
_cell_angle_gamma 90.00
loop_
_atom_site_label
_atom_site_type_symbol
_atom_site_fract_x
_atom_site_fract_y
_atom_site_fract_z
Ca1 Ca 0.000 0.000 0.000
Tl1 Tl 0.024 0.500 0.495
Ag1 Ag 0.530 0.500 0.739
Mo1 Mo 0.525 0.500 0.240
N1 N 0.475 0.000 0.130
```


Model iii:
Entry from Alexandria: CaTlAgMoN after structural relaxation (PBE).

Structure (CIF):
```
data_CaTlAgMoN
_space_group_name_H-M_alt 'C 1 m 1'
_space_group_IT_number 8
_space_group_name_Hall 'C -2y'
_cell_length_a 10.680
_cell_length_b 3.140
_cell_length_c 7.752
_cell_angle_alpha 90.00
_cell_angle_beta 129.99
_cell_angle_gamma 90.00
loop_
_atom_site_label
_atom_site_type_symbol
_atom_site_fract_x
_atom_site_fract_y
_atom_site_fract_z
Ca1 Ca 0.000 0.000 0.000
Tl1 Tl 0.314 0.000 0.524
Ag1 Ag 0.144 0.000 0.724
Mo1 Mo 0.359 0.500 0.237
N1 N 0.403 0.000 0.137
```


Model iv:
Entry from Alexandria: CaTlAgMoN after structural relaxation (PBE).

Structure (CIF):
```
data_CaTlAgMoN
_space_group_name_H-M_alt 'R 3 m'
_space_group_IT_number 160
_space_group_name_Hall 'R 3 -2"'
_cell_length_a 3.1506
_cell_length_b 3.1506
_cell_length_c 30.7914
_cell_angle_alpha 90.00
_cell_angle_beta 90.00
_cell_angle_gamma 120.00
loop_
_atom_site_label
_atom_site_type_symbol
_atom_site_fract_x
_atom_site_fract_y
_atom_site_fract_z
Ca1 Ca 0.0000 0.0000 0.0000
Tl1 Tl 0.0000 0.0000 0.8365
Ag1 Ag 0.0000 0.0000 0.4214
Mo1 Mo 0.0000 0.0000 0.5821
N1 N 0.0000 0.0000 0.2870
```


Relative energy table, unit eV/atom: model i 0.013; model ii 0.128; model iii 0.165; model iv 0.000


Model i:
Entry from Alexandria: CaTlAgMoN after structural relaxation (PBE).

Structure (CIF):
```
data_CaTlAgMoN
_space_group_name_H-M_alt 'P m m 2'
_space_group_IT_number 25
_space_group_name_Hall 'P 2 -2'
_cell_length_a 3.450
_cell_length_b 3.491
_cell_length_c 8.230
_cell_angle_alpha 90.00
_cell_angle_beta 90.00
_cell_angle_gamma 90.00
loop_
_atom_site_label
_atom_site_type_symbol
_atom_site_fract_x
_atom_site_fract_y
_atom_site_fract_z
Ca1 Ca 0.000 0.000 0.000
Tl1 Tl 0.000 0.000 0.474
Ag1 Ag 0.500 0.500 0.258
Mo1 Mo 0.500 0.500 0.703
N1 N 0.000 0.500 0.806
```


Model ii:
Entry from Alexandria: CaTlAgMoN after structural relaxation (PBE).

Structure (CIF):
```
data_CaTlAgMoN
_space_group_name_H-M_alt 'P 3 m 1'
_space_group_IT_number 156
_space_group_name_Hall 'P 3 -2"'
_cell_length_a 3.1484
_cell_length_b 3.1484
_cell_length_c 10.2818
_cell_angle_alpha 90.00
_cell_angle_beta 90.00
_cell_angle_gamma 120.00
loop_
_atom_site_label
_atom_site_type_symbol
_atom_site_fract_x
_atom_site_fract_y
_atom_site_fract_z
Ca1 Ca 0.0000 0.0000 0.0000
Tl1 Tl 0.0000 0.0000 0.4904
Ag1 Ag 0.3333 0.6667 0.7362
Mo1 Mo 0.3333 0.6667 0.2536
N1 N 0.6667 0.3333 0.1388
```


Relative energy table, unit eV/atom: model i 0.125; model ii 0.000


Model i:
Entry from Alexandria: CaAgMoPd after structural relaxation (PBE).

Structure (CIF):
```
data_CaAgMoPd
_space_group_name_H-M_alt 'R 3 m'
_space_group_IT_number 160
_space_group_name_Hall 'R 3 -2"'
_cell_length_a 4.4405
_cell_length_b 4.4405
_cell_length_c 15.7890
_cell_angle_alpha 90.00
_cell_angle_beta 90.00
_cell_angle_gamma 120.00
loop_
_atom_site_label
_atom_site_type_symbol
_atom_site_fract_x
_atom_site_fract_y
_atom_site_fract_z
Ca1 Ca 0.0000 0.0000 0.0000
Ag1 Ag 0.0000 0.0000 0.7904
Mo1 Mo 0.0000 0.0000 0.1988
Pd1 Pd 0.0000 0.0000 0.5262
```


Model ii:
Entry from Alexandria: CaAgMoPd after structural relaxation (PBE).

Structure (CIF):
```
data_CaAgMoPd
_space_group_name_H-M_alt 'P m m 2'
_space_group_IT_number 25
_space_group_name_Hall 'P 2 -2'
_cell_length_a 2.876
_cell_length_b 3.962
_cell_length_c 6.739
_cell_angle_alpha 90.00
_cell_angle_beta 90.00
_cell_angle_gamma 90.00
loop_
_atom_site_label
_atom_site_type_symbol
_atom_site_fract_x
_atom_site_fract_y
_atom_site_fract_z
Ca1 Ca 0.000 0.000 0.000
Ag1 Ag 0.500 0.500 0.294
Mo1 Mo 0.000 0.000 0.527
Pd1 Pd 0.500 0.500 0.712
```


Model iii:
Entry from Alexandria: CaAgMoPd after structural relaxation (PBE).

Structure (CIF):
```
data_CaAgMoPd
_space_group_name_H-M_alt 'P 1'
_space_group_IT_number 1
_space_group_name_Hall 'P 1'
_cell_length_a 2.866
_cell_length_b 5.227
_cell_length_c 5.252
_cell_angle_alpha 101.06
_cell_angle_beta 105.60
_cell_angle_gamma 90.15
loop_
_atom_site_label
_atom_site_type_symbol
_atom_site_fract_x
_atom_site_fract_y
_atom_site_fract_z
Ca1 Ca 0.000 0.000 0.000
Ag1 Ag 0.244 0.818 0.484
Mo1 Mo 0.777 0.354 0.554
Pd1 Pd 0.517 0.489 0.033
```


Relative energy table, unit eV/atom: model i 0.179; model ii 0.000; model iii 0.064


Model i:
Entry from Alexandria: CaAgMoPd after structural relaxation (PBE).

Structure (CIF):
```
data_CaAgMoPd
_space_group_name_H-M_alt 'P 4 m m'
_space_group_IT_number 99
_space_group_name_Hall 'P 4 -2'
_cell_length_a 2.955
_cell_length_b 2.955
_cell_length_c 8.498
_cell_angle_alpha 90.00
_cell_angle_beta 90.00
_cell_angle_gamma 90.00
loop_
_atom_site_label
_atom_site_type_symbol
_atom_site_fract_x
_atom_site_fract_y
_atom_site_fract_z
Ca1 Ca 0.000 0.000 0.000
Ag1 Ag 0.500 0.500 0.713
Mo1 Mo 0.000 0.000 0.469
Pd1 Pd 0.500 0.500 0.260
```


Model ii:
Entry from Alexandria: CaAgMoPd after structural relaxation (PBE).

Structure (CIF):
```
data_CaAgMoPd
_space_group_name_H-M_alt 'R 3 m'
_space_group_IT_number 160
_space_group_name_Hall 'R 3 -2"'
_cell_length_a 4.5810
_cell_length_b 4.5810
_cell_length_c 14.3707
_cell_angle_alpha 90.00
_cell_angle_beta 90.00
_cell_angle_gamma 120.00
loop_
_atom_site_label
_atom_site_type_symbol
_atom_site_fract_x
_atom_site_fract_y
_atom_site_fract_z
Ca1 Ca 0.0000 0.0000 0.0000
Ag1 Ag 0.0000 0.0000 0.7851
Mo1 Mo 0.0000 0.0000 0.5173
Pd1 Pd 0.0000 0.0000 0.2039
```


Relative energy table, unit eV/atom: model i 0.000; model ii 0.097